Record 1
A geometry-optimized Cu2MoRu structure, computed with GGA-PBE.

SG	I4/mmm (139)

CIF file:
```
data_Cu2MoRu
_chemical_formula_sum 'Cu2 Mo1 Ru1'
_cell_length_a 4.831
_cell_length_b 4.831
_cell_length_c 4.831
_cell_angle_alpha 135.75
_cell_angle_beta 135.75
_cell_angle_gamma 64.36
_space_group_name_H-M_alt 'P 1'
_space_group_IT_number 1
_space_group_name_Hall 'P 1'
loop_
_atom_site_label
_atom_site_type_symbol
_atom_site_fract_x
_atom_site_fract_y
_atom_site_fract_z
Cu1 Cu 0.250 0.750 0.500
Cu2 Cu 0.750 0.250 0.500
Mo1 Mo 0.000 0.000 0.000
Ru1 Ru 0.500 0.500 0.000
```


Record 2
A geometry-optimized CuMoRu3 structure, computed with GGA-PBE.

energy above the lowest structure with this stoichiometry	0.103	eV/atom
SG	Pm-3m (221)

CIF file:
```
data_CuMoRu3
_chemical_formula_sum 'Cu1 Mo1 Ru3'
_cell_length_a 4.643
_cell_length_b 4.643
_cell_length_c 4.643
_cell_angle_alpha 90.00
_cell_angle_beta 90.00
_cell_angle_gamma 90.00
_space_group_name_H-M_alt 'P 1'
_space_group_IT_number 1
_space_group_name_Hall 'P 1'
loop_
_atom_site_label
_atom_site_type_symbol
_atom_site_fract_x
_atom_site_fract_y
_atom_site_fract_z
Cu1 Cu 0.000 0.000 0.000
Mo1 Mo 0.500 0.500 0.500
Ru1 Ru 0.000 0.500 0.500
Ru2 Ru 0.500 0.000 0.500
Ru3 Ru 0.500 0.500 0.000
```


Record 3
A geometry-optimized Cu2MoRu2 structure, computed with GGA-PBE.

energy above the lowest structure with this stoichiometry	0.037	eV/atom
SG	P4/mbm (127)

CIF file:
```
data_Cu2MoRu2
_chemical_formula_sum 'Cu4 Mo2 Ru4'
_cell_length_a 6.982
_cell_length_b 6.982
_cell_length_c 2.877
_cell_angle_alpha 90.00
_cell_angle_beta 90.00
_cell_angle_gamma 90.00
_space_group_name_H-M_alt 'P 1'
_space_group_IT_number 1
_space_group_name_Hall 'P 1'
loop_
_atom_site_label
_atom_site_type_symbol
_atom_site_fract_x
_atom_site_fract_y
_atom_site_fract_z
Cu1 Cu 0.169 0.331 0.000
Cu2 Cu 0.331 0.831 0.000
Cu3 Cu 0.669 0.169 0.000
Cu4 Cu 0.831 0.669 0.000
Mo1 Mo 0.000 0.000 0.500
Mo2 Mo 0.500 0.500 0.500
Ru1 Ru 0.128 0.628 0.500
Ru2 Ru 0.372 0.128 0.500
Ru3 Ru 0.628 0.872 0.500
Ru4 Ru 0.872 0.372 0.500
```


Record 4
A geometry-optimized Cu2MoRu structure, computed with GGA-PBE.

SG	Pm (6)

CIF file:
```
data_Cu2MoRu
_chemical_formula_sum 'Cu2 Mo1 Ru1'
_cell_length_a 2.629
_cell_length_b 4.194
_cell_length_c 5.008
_cell_angle_alpha 90.00
_cell_angle_beta 98.28
_cell_angle_gamma 90.00
_space_group_name_H-M_alt 'P 1'
_space_group_IT_number 1
_space_group_name_Hall 'P 1'
loop_
_atom_site_label
_atom_site_type_symbol
_atom_site_fract_x
_atom_site_fract_y
_atom_site_fract_z
Cu1 Cu 0.000 0.000 0.000
Cu2 Cu 0.061 0.500 0.238
Mo1 Mo 0.629 0.000 0.492
Ru1 Ru 0.423 0.500 0.750
```


Record 5
A geometry-optimized CuMoRu structure, computed with GGA-PBE.

energy above the lowest structure with this stoichiometry	0.537	eV/atom
SG	F-43m (216)

CIF file:
```
data_CuMoRu
_chemical_formula_sum 'Cu1 Mo1 Ru1'
_cell_length_a 4.141
_cell_length_b 4.141
_cell_length_c 4.141
_cell_angle_alpha 60.00
_cell_angle_beta 60.00
_cell_angle_gamma 60.00
_space_group_name_H-M_alt 'P 1'
_space_group_IT_number 1
_space_group_name_Hall 'P 1'
loop_
_atom_site_label
_atom_site_type_symbol
_atom_site_fract_x
_atom_site_fract_y
_atom_site_fract_z
Cu1 Cu 0.000 0.000 0.000
Mo1 Mo 0.500 0.500 0.500
Ru1 Ru 0.750 0.750 0.750
```


Record 6
A geometry-optimized Cu2MoRu structure, computed with GGA-PBE.

SG	P4/mmm (123)

CIF file:
```
data_Cu2MoRu
_chemical_formula_sum 'Cu2 Mo1 Ru1'
_cell_length_a 2.603
_cell_length_b 2.603
_cell_length_c 8.011
_cell_angle_alpha 90.00
_cell_angle_beta 90.00
_cell_angle_gamma 90.00
_space_group_name_H-M_alt 'P 1'
_space_group_IT_number 1
_space_group_name_Hall 'P 1'
loop_
_atom_site_label
_atom_site_type_symbol
_atom_site_fract_x
_atom_site_fract_y
_atom_site_fract_z
Cu1 Cu 0.000 0.000 0.243
Cu2 Cu 0.000 0.000 0.757
Mo1 Mo 0.500 0.500 0.500
Ru1 Ru 0.500 0.500 0.000
```


Ordered E results: -6.874; -6.814; -7.029; -6.861; -7.438; -6.789; unit eV/atom.